{
  "formula": "PtO",
  "functional": "PBE",
  "state": "optimized geometry",
  "cell": [[0.420, 1.536, 2.834], [-2.582, 0.945, 1.735], [-0.725, -1.506, 2.788]],
  "species": ["O", "Pt"],
  "frac_coords": [[0.000, 0.000, 0.000], [0.500, 0.500, 0.500]],
  "dft_energy_ev_per_cell": -9.90
}